[1]
DySc2Ga6: optimized geometry, PBE.

Properties
**Formation enthalpy at 0 K**: -0.49 eV per atom
**DOS at the Fermi energy**: 4.67 states/eV/cell
**Density**: 6.1 g cm⁻³
**SG**: No. 71

a b c (Å): 4.165 7.547 7.547
angles (deg): 53.84 73.98 73.98
Positions (direct):
Ga: 0.310 0.993 0.386
Ga: 0.690 0.007 0.614
Ga: 0.500 0.315 0.685
Ga: 0.310 0.386 0.993
Ga: 0.500 0.685 0.315
Ga: 0.690 0.614 0.007
Sc: 0.122 0.378 0.378
Sc: 0.878 0.622 0.622
Dy: 0.000 0.000 0.000



[2]
Tb6Ho2Tm3Sc: optimized geometry, PBE.

Properties
**Formation enthalpy at 0 K**: 0.03 eV per atom
**DOS at the Fermi energy**: 16.21 states/eV/cell
**Density**: 8.3 g cm⁻³
**SG**: No. 12

a b c (Å): 6.085 6.085 11.603
angles (deg): 95.00 95.00 119.96
Positions (direct):
Tb: 0.586 0.917 0.751
Tb: 0.751 0.751 0.249
Tb: 0.917 0.586 0.751
Tb: 0.083 0.414 0.249
Tb: 0.249 0.249 0.751
Tb: 0.414 0.083 0.249
Sc: 0.000 0.000 0.000
Tm: 0.166 0.834 0.500
Tm: 0.500 0.500 0.500
Tm: 0.834 0.166 0.500
Ho: 0.333 0.667 0.000
Ho: 0.667 0.333 0.000



[3]
LiCa2W: optimized geometry, PBE.

Properties
**Formation enthalpy at 0 K**: 0.86 eV per atom
**DOS at the Fermi energy**: 2.17 states/eV/cell
**Density**: 4.3 g cm⁻³
**SG**: No. 225

a b c (Å): 5.272 5.272 5.272
angles (deg): 60.00 60.00 60.00
Site moments in Bohr magnetons follow the coordinates.
Positions (direct):
W: 0.500 0.500 0.500  2.19
Ca: 0.250 0.250 0.250  0.04
Ca: 0.750 0.750 0.750  0.04
Li: 0.000 0.000 0.000  -0.04



[4]
Pm5Zn2Pb5: optimized geometry, PBE.

Properties
**Formation enthalpy at 0 K**: -0.47 eV per atom
**DOS at the Fermi energy**: 5.28 states/eV/cell
**Density**: 9.2 g cm⁻³
**SG**: No. 12

a b c (Å): 4.655 8.632 9.165
angles (deg): 78.81 75.29 74.36
Positions (direct):
Pb: 0.068 0.228 0.637
Pb: 0.245 0.687 0.823
Pb: 0.000 0.000 0.000
Pb: 0.932 0.772 0.363
Pb: 0.755 0.313 0.177
Pm: 0.605 0.704 0.086
Pm: 0.306 0.061 0.326
Pm: 0.500 0.500 0.500
Pm: 0.395 0.296 0.914
Pm: 0.694 0.939 0.674
Zn: 0.136 0.457 0.272
Zn: 0.864 0.543 0.728



[5]
Y2MnBeC: optimized geometry, PBE.

Properties
**Formation enthalpy at 0 K**: -0.07 eV per atom
**DOS at the Fermi energy**: 4.95 states/eV/cell
**Density**: 4.7 g cm⁻³
**SG**: No. 123

a b c (Å): 4.919 4.919 3.729
angles (deg): 90.00 90.00 90.00
Site moments in Bohr magnetons follow the coordinates.
Positions (direct):
Mn: 0.000 0.000 0.500  1.61
Y: 0.500 0.000 0.000  -0.08
Y: 0.000 0.500 0.000  -0.08
C: 0.000 0.000 0.000  -0.08
Be: 0.500 0.500 0.500  -0.04



[6]
Tm6In5Pb: optimized geometry, PBE.

Properties
**Formation enthalpy at 0 K**: -0.41 eV per atom
**DOS at the Fermi energy**: 9.89 states/eV/cell
**Density**: 9.6 g cm⁻³
**SG**: No. 65

a b c (Å): 4.898 8.651 7.746
angles (deg): 90.00 71.57 90.00
Positions (direct):
Pb: 0.000 0.000 0.000
Tm: 0.500 0.251 0.000
Tm: 0.167 0.748 0.666
Tm: 0.833 0.748 0.334
Tm: 0.167 0.252 0.666
Tm: 0.833 0.252 0.334
Tm: 0.500 0.749 0.000
In: 0.329 0.000 0.342
In: 0.000 0.500 0.000
In: 0.666 0.500 0.668
In: 0.334 0.500 0.332
In: 0.671 0.000 0.658



[7]
KFePAu: optimized geometry, PBE.

Properties
**Formation enthalpy at 0 K**: -0.41 eV per atom
**DOS at the Fermi energy**: 5.92 states/eV/cell
**Density**: 6.1 g cm⁻³
**SG**: No. 129

a b c (Å): 3.835 3.835 11.956
angles (deg): 90.00 90.00 90.00
Positions (direct):
Au: 0.250 0.750 0.500
Au: 0.750 0.250 0.500
P: 0.750 0.750 0.910
P: 0.250 0.250 0.090
K: 0.250 0.250 0.743
K: 0.750 0.750 0.257
Fe: 0.250 0.750 0.000
Fe: 0.750 0.250 0.000



[8]
Sc4Al3Cd: optimized geometry, PBE.

Properties
**Formation enthalpy at 0 K**: -0.41 eV per atom
**DOS at the Fermi energy**: 9.23 states/eV/cell
**Density**: 3.9 g cm⁻³
**SG**: No. 123

a b c (Å): 4.836 6.862 9.669
angles (deg): 90.00 90.00 90.00
Positions (direct):
Al: 0.000 0.000 0.000
Al: 0.000 0.000 0.500
Al: 0.500 0.500 0.250
Al: 0.500 0.000 0.750
Al: 0.500 0.000 0.250
Al: 0.500 0.500 0.750
Sc: 0.500 0.755 0.500
Sc: 0.000 0.245 0.250
Sc: 0.500 0.755 0.000
Sc: 0.500 0.245 0.500
Sc: 0.500 0.245 0.000
Sc: 0.000 0.755 0.250
Sc: 0.000 0.245 0.750
Sc: 0.000 0.755 0.750
Cd: 0.000 0.500 0.000
Cd: 0.000 0.500 0.500



[9]
CeScSnPt: optimized geometry, PBE.

Properties
**Formation enthalpy at 0 K**: -0.70 eV per atom
**DOS at the Fermi energy**: 7.71 states/eV/cell
**Density**: 8.9 g cm⁻³
**SG**: No. 216

a b c (Å): 5.086 5.086 5.086
angles (deg): 60.00 60.00 60.00
Site moments in Bohr magnetons follow the coordinates.
Positions (direct):
Sn: 0.250 0.250 0.250  -0.01
Sc: 0.500 0.500 0.500  0.11
Ce: 0.000 0.000 0.000  0.67
Pt: 0.750 0.750 0.750  -0.03



[10]
KHg2Pd: optimized geometry, PBE.

Properties
**Formation enthalpy at 0 K**: -0.20 eV per atom
**DOS at the Fermi energy**: 2.43 states/eV/cell
**Density**: 7.8 g cm⁻³
**SG**: No. 11

a b c (Å): 4.946 4.753 10.194
angles (deg): 76.68 89.99 90.00
Positions (direct):
Hg: 0.000 0.700 0.590
Hg: 0.500 0.505 0.991
Hg: 0.500 0.800 0.410
Hg: 0.000 0.995 0.009
K: 0.000 0.367 0.271
K: 0.500 0.133 0.729
Pd: 0.500 0.933 0.137
Pd: 0.000 0.567 0.863



[11]
Ac2As4IrPd3: optimized geometry, PBE.

Properties
**Formation enthalpy at 0 K**: -0.84 eV per atom
**DOS at the Fermi energy**: 5.10 states/eV/cell
**Density**: 10.2 g cm⁻³
**SG**: No. 115

a b c (Å): 4.538 4.538 10.025
angles (deg): 90.00 90.00 90.00
Positions (direct):
Pd: 0.000 0.500 0.120
Pd: 0.000 0.000 0.500
Pd: 0.500 0.000 0.880
Ac: 0.500 0.000 0.250
Ac: 0.000 0.500 0.750
As: 0.000 0.000 0.000
As: 0.500 0.000 0.626
As: 0.000 0.500 0.374
As: 0.500 0.500 0.000
Ir: 0.500 0.500 0.500



[12]
KTaTe2: optimized geometry, PBE.

Properties
**DOS at the Fermi energy**: 3.41 states/eV/cell
**Density**: 6.0 g cm⁻³
**SG**: No. 99
**Uncorrected formation energy**: -53 meV/atom

a b c (Å): 3.806 3.806 9.105
angles (deg): 90.00 90.00 90.00
Site moments in Bohr magnetons follow the coordinates.
Positions (direct):
Te: 0.000 0.000 0.842  -0.01
Te: 0.500 0.500 0.237  -0.02
K: 0.000 0.000 0.467  0.01
Ta: 0.500 0.500 0.954  0.36



[13]
SrCa5Zn6: optimized geometry, PBE.

Properties
**Formation enthalpy at 0 K**: -0.22 eV per atom
**DOS at the Fermi energy**: 8.44 states/eV/cell
**Density**: 3.7 g cm⁻³
**SG**: No. 65

a b c (Å): 5.298 7.342 8.349
angles (deg): 90.00 71.50 90.00
Positions (direct):
Zn: 0.830 0.257 0.340
Zn: 0.170 0.743 0.660
Zn: 0.170 0.257 0.660
Zn: 0.500 0.261 0.000
Zn: 0.500 0.739 0.000
Zn: 0.830 0.743 0.340
Ca: 0.000 0.500 0.000
Ca: 0.665 0.500 0.669
Ca: 0.332 0.000 0.336
Ca: 0.335 0.500 0.331
Ca: 0.668 0.000 0.664
Sr: 0.000 0.000 0.000